No. 1
A plane-wave DFT calculation with PBE-GGA was carried out for a geometry-optimized TaVCo structure.

a b c (Å): 8.0533 4.9357 8.3737
angles (deg): 90.00 90.00 90.00
Space group Amm2 (No. 38)
Inequivalent atoms, fractional coordinates:
Ta 0.1841 0.0000 0.0000 x4
Ta 0.3054 0.0000 0.3322 x4
V 0.0000 0.0000 0.5144 x2
V 0.5000 0.0000 0.8402 x2
V 0.5000 0.2479 0.0834 x4
Co 0.0000 0.2447 0.2685 x4
Co 0.2440 0.0000 0.6707 x4

Properties
Magnetic moment, μB per formula unit: 0.000
Formation energy from the elements, meV/atom: -221.9
E_tot, eV for the cell shown: -229.942
D(E_F), states/eV per cell: 30.064
Polymorph energy (0 for the lowest one), eV per atom: 0.009

=====

No. 2
A plane-wave DFT calculation with PBE-GGA was carried out for a geometry-optimized K3ReI6Br2 structure.

a b c (Å): 17.6282 9.8228 6.5102
angles (deg): 90.00 97.78 90.00
Space group C2/m (No. 12)
Inequivalent atoms, fractional coordinates:
K 0.0000 0.0000 0.0000 x2
K 0.2500 0.2500 0.5000 x4
Re 0.0000 0.5000 0.5000 x2
I 0.0745 0.3047 0.7467 x8
I 0.1146 0.5000 0.2603 x4
Br 0.1686 0.0000 0.2449 x4

Properties
Magnetic moment, μB per formula unit: 1.942
Raw formation energy, eV/atom: -0.7051
E_tot, eV for the cell shown: -73.695
D(E_F), states/eV per cell: 13.343

=====

No. 3
A plane-wave DFT calculation with PBE-GGA was carried out for a geometry-optimized LaReGe2 structure.

a b c (Å): 5.0383 5.0383 16.1895
angles (deg): 90.00 90.00 90.00
Space group I-42d (No. 122)
Inequivalent atoms, fractional coordinates:
La 0.0000 0.0000 0.0000 x4
Re 0.0000 0.0000 0.5000 x4
Ge 0.0556 0.2500 0.6250 x8

Properties
Magnetic moment, μB per formula unit: 0.000
Formation energy from the elements, meV/atom: -14.7
E_tot, eV for the cell shown: -106.677
D(E_F), states/eV per cell: 7.838

=====

No. 4
A plane-wave DFT calculation with PBE-GGA was carried out for a geometry-optimized Sr2NpInTe5 structure.

a b c (Å): 4.5078 20.1082 13.8979
angles (deg): 90.00 90.00 90.00
Space group Cmc2_1 (No. 36)
Inequivalent atoms, fractional coordinates:
Sr 0.0000 0.1188 0.0000 x4
Sr 0.0000 0.1263 0.6394 x4
Np 0.0000 0.2071 0.3377 x4
In 0.0000 0.4421 0.7637 x4
Te 0.0000 0.0482 0.3864 x4
Te 0.0000 0.2927 0.9911 x4
Te 0.0000 0.3090 0.6778 x4
Te 0.0000 0.3604 0.3222 x4
Te 0.0000 0.4978 0.0850 x4

Properties
Magnetic moment, μB per formula unit: 3.968
Raw formation energy, eV/atom: -1.0115
E_tot, eV for the cell shown: -175.421
D(E_F), states/eV per cell: 29.125

=====

No. 5
A plane-wave DFT calculation with PBE-GGA was carried out for a geometry-optimized KHfB structure.

a b c (Å): 3.1823 4.5364 11.9808
angles (deg): 87.84 83.77 89.98
Space group P1 (No. 1)
Inequivalent atoms, fractional coordinates:
K 0.0000 0.0000 0.0000 x1
K 0.2659 0.4639 0.3436 x1
Hf 0.1603 0.9793 0.6021 x1
Hf 0.5957 0.5218 0.7600 x1
B 0.1538 0.4672 0.6177 x1
B 0.6720 0.3916 0.5729 x1

Properties
Magnetic moment, μB per formula unit: 0.000
Formation energy from the elements, meV/atom: 227.9
E_tot, eV for the cell shown: -34.089
D(E_F), states/eV per cell: 6.050
Polymorph energy (0 for the lowest one), eV per atom: 0.297

=====

No. 6
A plane-wave DFT calculation with PBE-GGA was carried out for a geometry-optimized Sm4Al2Zn structure.

a b c (Å): 5.1702 5.1702 25.0561
angles (deg): 90.00 90.00 120.00
Space group R-3m (No. 166, hexagonal axes)
Inequivalent atoms, fractional coordinates:
Sm 0.0000 0.0000 0.1214 x6
Sm 0.0000 0.0000 0.3728 x6
Al 0.0000 0.0000 0.2477 x6
Zn 0.0000 0.0000 0.5000 x3

Properties
Magnetic moment, μB per formula unit: 0.000
Formation energy from the elements, meV/atom: -226.2
E_tot, eV for the cell shown: -87.658
D(E_F), states/eV per cell: 21.659

=====

- Number 2 is which compound?
  K3ReI6Br2

=====

- The highest E_tot belongs to which entry?
  KHfB

=====

- Among the records above, which one has the lowest E_tot?
  TaVCo

=====

- Which of these has the highest magnetic moment?
  Sr2NpInTe5